# SrTa2Ru SCAN PBEsol geometry
# - ΔE_f: 0.473 eV/atom
# - D(E_F): 4.02 states/eV/cell
# - Magnetic moment: 0.00 Bohr magnetons per cell
data_SrTa2Ru
_symmetry_space_group_name_H-M 'P m m m'
_symmetry_Int_Tables_number 47
_symmetry_space_group_name_Hall '-P 2 2'
_cell_length_a 2.997
_cell_length_b 3.604
_cell_length_c 7.877
_cell_angle_alpha 90.00
_cell_angle_beta 90.00
_cell_angle_gamma 90.00
loop_
_atom_site_label
_atom_site_type_symbol
_atom_site_fract_x
_atom_site_fract_y
_atom_site_fract_z
Sr1 Sr 0.000 0.000 0.000
Ta1 Ta 0.500 0.500 0.331
Ru1 Ru 0.000 0.000 0.500